(1)
Compound: Cr2NiRuN
Source: Alexandria via LeMat-Bulk
Functional: PBE
Structure: optimized geometry

Cell and atoms, written as CIF:
```
data_Cr2NiRuN
_cell_length_a 3.811
_cell_length_b 3.811
_cell_length_c 3.805
_cell_angle_alpha 90.00
_cell_angle_beta 90.00
_cell_angle_gamma 90.00
_space_group_name_H-M_alt 'P 4/m m m'
_space_group_IT_number 123
_space_group_name_Hall '-P 4 2'
loop_
_atom_site_label
_atom_site_fract_x
_atom_site_fract_y
_atom_site_fract_z
_atom_site_occupancy
Cr1 0.000 0.500 0.000 1
Ni1 0.000 0.000 0.500 1
Ru1 0.500 0.500 0.500 1
N1 0.000 0.000 0.000 1
```

Summary:
crystal system: tetragonal
density: 8.34 g/cm³
VASP energy: -42.774 eV per formula unit
energy relative to the elements, uncorrected: -0.03 eV per atom


(2)
Compound: CrNiSN2
Source: Alexandria via LeMat-Bulk
Functional: PBE
Structure: optimized geometry

Cell and atoms, written as CIF:
```
data_CrNiSN2
_cell_length_a 3.561
_cell_length_b 3.561
_cell_length_c 5.017
_cell_angle_alpha 90.00
_cell_angle_beta 90.00
_cell_angle_gamma 90.00
_space_group_name_H-M_alt 'P 4/m m m'
_space_group_IT_number 123
_space_group_name_Hall '-P 4 2'
loop_
_atom_site_label
_atom_site_fract_x
_atom_site_fract_y
_atom_site_fract_z
_atom_site_occupancy
Cr1 0.000 0.000 0.000 1
Ni1 0.500 0.500 0.500 1
S1 0.000 0.000 0.500 1
N1 0.000 0.500 0.000 1
```

Summary:
crystal system: tetragonal
density: 4.46 g/cm³
VASP energy: -33.231 eV per formula unit
energy relative to the elements, uncorrected: 0.59 eV per atom
ΔE to the lowest computed polymorph: 0.000 eV/atom


(3)
Compound: CrNiSN2
Source: Alexandria via LeMat-Bulk
Functional: PBE
Structure: optimized geometry

Cell and atoms, written as CIF:
```
data_CrNiSN2
_cell_length_a 3.652
_cell_length_b 3.652
_cell_length_c 4.790
_cell_angle_alpha 90.00
_cell_angle_beta 90.00
_cell_angle_gamma 90.00
_space_group_name_H-M_alt 'P 4/m m m'
_space_group_IT_number 123
_space_group_name_Hall '-P 4 2'
loop_
_atom_site_label
_atom_site_fract_x
_atom_site_fract_y
_atom_site_fract_z
_atom_site_occupancy
Cr1 0.000 0.000 0.000 1
Ni1 0.500 0.500 0.500 1
S1 0.500 0.500 0.000 1
N1 0.000 0.500 0.500 1
```

Summary:
crystal system: tetragonal
density: 4.44 g/cm³
VASP energy: -31.091 eV per formula unit
energy relative to the elements, uncorrected: 1.02 eV per atom
ΔE to the lowest computed polymorph: 0.428 eV/atom